Density functional theory data (PBE) for a geometry-optimized Tb3Sm7Tl structure.

Properties
Crystal system: trigonal
Formation energy from the elements in kJ/mol of formula units: 142
Calculated volume in A^3/atom: 33.79
Uncorrected energy in eV/atom: -4.3475

a = 7.0622 Å, b = 7.0622 Å, c = 8.6049 Å
α = 90.00°, β = 90.00°, γ = 120.00°
Space group P3m1 (No. 156)
Inequivalent atoms, fractional coordinates:
1 Tb 0.0016 0.5008 0.0000 (multiplicity 3)
2 Sm 0.1694 0.3388 0.3338 (multiplicity 3)
3 Sm 0.3333 0.6667 0.6712 (multiplicity 1)
4 Sm 0.3368 0.1684 0.6621 (multiplicity 3)
5 Tl 0.6667 0.3333 0.3258 (multiplicity 1)

***

Density functional theory data (PBE) for a geometry-optimized TbSm2Tl4 structure.

Properties
Crystal system: tetragonal
Formation energy from the elements in kJ/mol of formula units: -157
Calculated volume in A^3/atom: 31.20
Offset from the most stable computed form in meV/atom: 0
Uncorrected energy in eV/atom: -3.5949

a = 7.4527 Å, b = 7.4527 Å, c = 7.8650 Å
α = 90.00°, β = 90.00°, γ = 90.00°
Space group I4/mmm (No. 139)
Inequivalent atoms, fractional coordinates:
1 Tb 0.0000 0.0000 0.0000 (multiplicity 2)
2 Sm 0.0000 0.5000 0.0000 (multiplicity 4)
3 Tl 0.2500 0.2500 0.2500 (multiplicity 8)

***

Density functional theory data (PBE) for a geometry-optimized Tb7Sm4Tl structure.

Properties
Crystal system: monoclinic
Formation energy from the elements in kJ/mol of formula units: 252
Calculated volume in A^3/atom: 34.10
Uncorrected energy in eV/atom: -4.2538

a = 12.1262 Å, b = 5.9206 Å, c = 12.8216 Å
α = 90.00°, β = 117.24°, γ = 90.00°
Space group C2/m (No. 12)
Inequivalent atoms, fractional coordinates:
1 Tb 0.0000 0.0000 0.0000 (multiplicity 2)
2 Tb 0.1318 0.5000 0.4952 (multiplicity 4)
3 Tb 0.2025 0.0000 0.6543 (multiplicity 4)
4 Tb 0.2264 0.0000 0.9245 (multiplicity 4)
5 Sm 0.0754 0.0000 0.3108 (multiplicity 4)
6 Sm 0.1247 0.5000 0.7757 (multiplicity 4)
7 Tl 0.0000 0.5000 0.0000 (multiplicity 2)

***

Density functional theory data (PBE) for a geometry-optimized TbSmTl structure.

Properties
Crystal system: hexagonal
Formation energy from the elements in kJ/mol of formula units: -76
Calculated volume in A^3/atom: 29.37
Offset from the most stable computed form in meV/atom: 0
Uncorrected energy in eV/atom: -4.1691

a = 5.4884 Å, b = 5.4884 Å, c = 6.7565 Å
α = 90.00°, β = 90.00°, γ = 120.00°
Space group P6_3/mmc (No. 194)
Inequivalent atoms, fractional coordinates:
1 Tb 0.3333 0.6667 0.2500 (multiplicity 2)
2 Sm 0.0000 0.0000 0.0000 (multiplicity 2)
3 Tl 0.3333 0.6667 0.7500 (multiplicity 2)

***

Density functional theory data (PBE) for a geometry-optimized Tb3Sm2Tl2 structure.

Properties
Crystal system: orthorhombic
Formation energy from the elements in kJ/mol of formula units: -75
Calculated volume in A^3/atom: 30.88
Offset from the most stable computed form in meV/atom: 93
Uncorrected energy in eV/atom: -4.1205

a = 3.6738 Å, b = 5.2262 Å, c = 22.5164 Å
α = 90.00°, β = 90.00°, γ = 90.00°
Space group Immm (No. 71)
Inequivalent atoms, fractional coordinates:
1 Tb 0.0000 0.0000 0.0000 (multiplicity 2)
2 Tb 0.0000 0.5000 0.2038 (multiplicity 4)
3 Sm 0.0000 0.0000 0.4275 (multiplicity 4)
4 Tl 0.0000 0.5000 0.3478 (multiplicity 4)

***

Density functional theory data (PBE) for a geometry-optimized Tb2SmTl2 structure.

Properties
Crystal system: triclinic
Formation energy from the elements in kJ/mol of formula units: -140
Calculated volume in A^3/atom: 29.11
Uncorrected energy in eV/atom: -4.0317

a = 5.3077 Å, b = 6.7013 Å, c = 9.1989 Å
α = 76.80°, β = 89.98°, γ = 66.72°
Space group P-1 (No. 2)
Inequivalent atoms, fractional coordinates:
1 Tb 0.0687 0.3627 0.3578 (multiplicity 2)
2 Tb 0.2489 0.0018 0.7487 (multiplicity 2)
3 Sm 0.4325 0.6329 0.1463 (multiplicity 2)
4 Tl 0.1357 0.2307 0.0479 (multiplicity 2)
5 Tl 0.3648 0.7702 0.4586 (multiplicity 2)

***

Density functional theory data (PBE) for a geometry-optimized TbSm4Tl2 structure.

Properties
Crystal system: trigonal
Formation energy from the elements in kJ/mol of formula units: 29
Calculated volume in A^3/atom: 34.24
Offset from the most stable computed form in meV/atom: 0
Uncorrected energy in eV/atom: -3.9910

a = 5.5598 Å, b = 5.5598 Å, c = 26.8569 Å
α = 90.00°, β = 90.00°, γ = 120.00°
Space group R-3m (No. 166, hexagonal axes)
Inequivalent atoms, fractional coordinates:
1 Tb 0.0000 0.0000 0.0000 (multiplicity 3)
2 Sm 0.0000 0.0000 0.2338 (multiplicity 6)
3 Sm 0.0000 0.0000 0.3692 (multiplicity 6)
4 Tl 0.0000 0.0000 0.1159 (multiplicity 6)

***

Density functional theory data (PBE) for a geometry-optimized TbSmTl2 structure.

Properties
Crystal system: trigonal
Formation energy from the elements in kJ/mol of formula units: -103
Calculated volume in A^3/atom: 30.37
Uncorrected energy in eV/atom: -3.7872

a = 3.8083 Å, b = 3.8083 Å, c = 29.0182 Å
α = 90.00°, β = 90.00°, γ = 120.00°
Space group R-3m (No. 166, hexagonal axes)
Inequivalent atoms, fractional coordinates:
1 Tb 0.0000 0.0000 0.0000 (multiplicity 3)
2 Sm 0.0000 0.0000 0.5000 (multiplicity 3)
3 Tl 0.0000 0.0000 0.2511 (multiplicity 6)

***

Density functional theory data (PBE) for a geometry-optimized Tb2SmTl4 structure.

Properties
Crystal system: trigonal
Formation energy from the elements in kJ/mol of formula units: -78
Calculated volume in A^3/atom: 30.34
Offset from the most stable computed form in meV/atom: 114
Uncorrected energy in eV/atom: -3.4652

a = 4.8870 Å, b = 4.8870 Å, c = 30.8019 Å
α = 90.00°, β = 90.00°, γ = 120.00°
Space group R-3m (No. 166, hexagonal axes)
Inequivalent atoms, fractional coordinates:
1 Tb 0.0000 0.0000 0.1295 (multiplicity 6)
2 Sm 0.0000 0.0000 0.0000 (multiplicity 3)
3 Tl 0.0000 0.0000 0.2430 (multiplicity 6)
4 Tl 0.0000 0.0000 0.3838 (multiplicity 6)

***

Density functional theory data (PBE) for a geometry-optimized TbSmTl structure.

Properties
Crystal system: trigonal
Formation energy from the elements in kJ/mol of formula units: -45
Calculated volume in A^3/atom: 30.34
Offset from the most stable computed form in meV/atom: 108
Uncorrected energy in eV/atom: -4.0609

a = 5.3044 Å, b = 5.3044 Å, c = 3.7354 Å
α = 90.00°, β = 90.00°, γ = 120.00°
Space group P3m1 (No. 156)
Inequivalent atoms, fractional coordinates:
1 Tb 0.0000 0.0000 0.0000 (multiplicity 1)
2 Sm 0.6667 0.3333 0.4640 (multiplicity 1)
3 Tl 0.3333 0.6667 0.8320 (multiplicity 1)

***

Density functional theory data (PBE) for a geometry-optimized Tb6Sm3Tl structure.

Properties
Crystal system: monoclinic
Formation energy from the elements in kJ/mol of formula units: 15
Calculated volume in A^3/atom: 31.94
Offset from the most stable computed form in meV/atom: 0
Uncorrected energy in eV/atom: -4.4151

a = 12.8483 Å, b = 3.5231 Å, c = 14.3684 Å
α = 90.00°, β = 100.84°, γ = 90.00°
Space group P2_1/m (No. 11)
Inequivalent atoms, fractional coordinates:
1 Tb 0.0113 0.2500 0.3093 (multiplicity 2)
2 Tb 0.1584 0.2500 0.8830 (multiplicity 2)
3 Tb 0.2548 0.7500 0.3092 (multiplicity 2)
4 Tb 0.2733 0.7500 0.7152 (multiplicity 2)
5 Tb 0.3098 0.7500 0.0775 (multiplicity 2)
6 Tb 0.3900 0.2500 0.5377 (multiplicity 2)
7 Sm 0.0784 0.2500 0.0976 (multiplicity 2)
8 Sm 0.1316 0.7500 0.5040 (multiplicity 2)
9 Sm 0.4258 0.2500 0.8975 (multiplicity 2)
10 Tl 0.4653 0.2500 0.2751 (multiplicity 2)

***

Density functional theory data (PBE) for a geometry-optimized Tb5Sm2Tl structure.

Properties
Crystal system: monoclinic
Formation energy from the elements in kJ/mol of formula units: 8
Calculated volume in A^3/atom: 31.85
Offset from the most stable computed form in meV/atom: 78
Uncorrected energy in eV/atom: -4.3594

a = 21.4685 Å, b = 6.7595 Å, c = 3.5609 Å
α = 90.00°, β = 99.49°, γ = 90.00°
Space group C2/m (No. 12)
Inequivalent atoms, fractional coordinates:
1 Tb 0.0000 0.0000 0.0000 (multiplicity 2)
2 Tb 0.1139 0.2511 0.6135 (multiplicity 8)
3 Sm 0.2394 0.0000 0.2383 (multiplicity 4)
4 Tl 0.0000 0.5000 0.0000 (multiplicity 2)